{"formula": "CsGaN2F", "functional": "PBE", "state": "relaxed", "lattice_angstrom": [[4.079, 0.000, 0.000], [0.000, 4.079, 0.000], [0.000, 0.000, 4.861]], "species": ["F", "Ga", "N", "N", "Cs"], "fractional_positions": [[0.000, 0.000, 0.500], [0.000, 0.000, 0.000], [0.500, 0.000, 0.000], [0.000, 0.500, 0.000], [0.500, 0.500, 0.500]], "polymorph_energy_ev_per_atom": 0.000, "spacegroup": "P4/mmm, No. 123", "e_form_raw_kcal_per_mol_atoms": 2.23}